Mg2ZrB: relaxed, PBE.

Values from the calculation:
Final energy ... -4.03 eV/atom

Cell lengths 4.5325, 4.5325, 4.5325 Å; angles 60.00, 60.00, 60.00 degrees
Atoms (fractional coordinates):
B1 0.5000 0.5000 0.5000
Mg1 0.0000 0.0000 0.0000
Mg2 0.7500 0.7500 0.7500
Zr1 0.2500 0.2500 0.2500

---

BMo: relaxed, PBE.

Values from the calculation:
Relative energy among the computed polymorphs ... 566 meV/atom
Final energy ... -8.70 eV/atom

Cell lengths 2.9575, 2.9575, 3.0087 Å; angles 90.00, 90.00, 120.00 degrees
Atoms (fractional coordinates):
B1 0.6667 0.3333 0.7500
Mo1 0.3333 0.6667 0.2500

---

B2Mo: relaxed, PBE.

Values from the calculation:
Final energy ... -7.12 eV/atom

Cell lengths 3.6214, 3.6214, 3.6214 Å; angles 60.00, 60.00, 60.00 degrees
Atoms (fractional coordinates):
B1 0.2500 0.2500 0.2500
B2 0.7500 0.7500 0.7500
Mo1 0.0000 0.0000 0.0000

---

BMo: relaxed, PBE.

Values from the calculation:
Relative energy among the computed polymorphs ... 0 meV/atom
Final energy ... -9.26 eV/atom

Cell lengths 8.8050, 8.8050, 8.8050 Å; angles 159.55, 159.54, 29.08 degrees
Atoms (fractional coordinates):
B1 0.1553 0.1553 0.0000
B2 0.8448 0.8448 0.0000
B3 0.0948 0.5948 0.5000
B4 0.4053 0.9053 0.5000
Mo1 0.3031 0.3031 0.0000
Mo2 0.6968 0.6968 0.0000
Mo3 0.5530 0.0530 0.5000
Mo4 0.9469 0.4469 0.5000

---

BMo: relaxed, PBE.

Values from the calculation:
Relative energy among the computed polymorphs ... 261 meV/atom
Final energy ... -9.00 eV/atom

Cell lengths 3.1570, 3.1570, 3.1570 Å; angles 60.00, 60.00, 60.00 degrees
Atoms (fractional coordinates):
B1 0.0000 0.0000 0.0000
Mo1 0.5000 0.5000 0.5000

---

B3Mo5: relaxed, PBE.

Values from the calculation:
Final energy ... -9.63 eV/atom

Cell lengths 6.8762, 6.8762, 6.8762 Å; angles 129.18, 129.18, 74.71 degrees
Atoms (fractional coordinates):
B1 0.2500 0.2500 0.0000
B2 0.7500 0.7500 0.0000
B3 0.8834 0.3834 0.2669
B4 0.3834 0.1166 0.5000
B5 0.6166 0.8834 0.5000
B6 0.1166 0.6166 0.7331
Mo1 0.0000 0.0000 0.0000
Mo2 0.5000 0.5000 0.0000
Mo3 0.1860 0.6860 0.1631
Mo4 0.4772 0.9772 0.1631
Mo5 0.0228 0.1860 0.5000
Mo6 0.3140 0.4772 0.5000
Mo7 0.6860 0.5228 0.5000
Mo8 0.9772 0.8140 0.5000
Mo9 0.5228 0.0228 0.8368
Mo10 0.8140 0.3140 0.8368

---

BMo: relaxed, PBE.

Values from the calculation:
Relative energy among the computed polymorphs ... 262 meV/atom
Final energy ... -9.00 eV/atom

Cell lengths 3.1660, 3.1660, 3.1660 Å; angles 59.37, 59.37, 59.37 degrees
Atoms (fractional coordinates):
B1 0.0000 0.0000 0.0000
Mo1 0.5000 0.5000 0.5000

---

B2Mo: relaxed, PBE.

Values from the calculation:
Final energy ... -7.68 eV/atom

Cell lengths 4.2165, 4.2165, 4.2165 Å; angles 60.00, 60.00, 60.00 degrees
Atoms (fractional coordinates):
B1 0.6250 0.6250 0.1250
B2 0.6250 0.1250 0.6250
B3 0.1250 0.6250 0.6250
B4 0.6250 0.6250 0.6250
Mo1 0.0000 0.0000 0.0000
Mo2 0.2500 0.2500 0.2500

---

Number 1: magnetic moment 0.04 Bohr magnetons per cell. Number 2: magnetic moment 0.00 Bohr magnetons per cell. Number 3: magnetic moment 0.00 Bohr magnetons per cell. Number 4: magnetic moment 0.01 Bohr magnetons per cell. Number 5: magnetic moment 0.00 Bohr magnetons per cell. Number 6: magnetic moment 0.00 Bohr magnetons per cell. Number 7: magnetic moment 0.00 Bohr magnetons per cell. Number 8: magnetic moment 0.00 Bohr magnetons per cell.